# Cs2GeSb2 | Alexandria | PBE-GGA | relaxed
# Formation energy from raw total energies   -0.239 eV per atom
data_Cs2GeSb2
_cell_length_a 15.9533
_cell_length_b 7.6208
_cell_length_c 11.5879
_cell_angle_alpha 90.00
_cell_angle_beta 130.27
_cell_angle_gamma 90.00
_symmetry_space_group_name_H-M 'C 1 2/m 1'
_symmetry_Int_Tables_number 12
_symmetry_space_group_name_Hall '-C 2y'
loop_
_atom_site_label
_atom_site_fract_x
_atom_site_fract_y
_atom_site_fract_z
Cs1 0.1424 0.0000 0.4612
Cs2 0.2451 0.0000 0.1335
Ge1 0.0286 0.5000 0.1719
Sb1 0.0594 0.5000 0.4174
Sb2 0.1626 0.5000 0.1079



# Cs3GeSb2 | Alexandria | PBE-GGA | relaxed
# Formation energy from raw total energies   -0.191 eV per atom
# E above lowest polymorph   112 meV/atom
# D(E_F)   7.9 states/eV/cell
data_Cs3GeSb2
_cell_length_a 21.5185
_cell_length_b 5.1046
_cell_length_c 14.1336
_cell_angle_alpha 90.00
_cell_angle_beta 120.50
_cell_angle_gamma 90.00
_symmetry_space_group_name_H-M 'C 1 2/m 1'
_symmetry_Int_Tables_number 12
_symmetry_space_group_name_Hall '-C 2y'
loop_
_atom_site_label
_atom_site_fract_x
_atom_site_fract_y
_atom_site_fract_z
Cs1 0.0513 0.0000 0.2605
Cs2 0.1604 0.5000 0.9905
Cs3 0.2146 0.0000 0.6127
Ge1 0.0721 0.5000 0.6554
Sb1 0.0772 0.5000 0.4644
Sb2 0.1266 0.0000 0.7716



# Cs2Ge2Sb | Alexandria | PBE-GGA | relaxed
# Formation energy from raw total energies   -0.078 eV per atom
# E above lowest polymorph   0 meV/atom
# D(E_F)   12.3 states/eV/cell
data_Cs2Ge2Sb
_cell_length_a 8.1152
_cell_length_b 14.3099
_cell_length_c 8.6038
_cell_angle_alpha 90.00
_cell_angle_beta 113.29
_cell_angle_gamma 90.00
_symmetry_space_group_name_H-M 'C 1 2/m 1'
_symmetry_Int_Tables_number 12
_symmetry_space_group_name_Hall '-C 2y'
loop_
_atom_site_label
_atom_site_fract_x
_atom_site_fract_y
_atom_site_fract_z
Cs1 0.2032 0.1440 0.2759
Ge1 0.1362 0.5000 0.3025
Ge2 0.2161 0.0000 0.9008
Sb1 0.0000 0.3733 0.0000



# CsGeSb2 | Alexandria | PBE-GGA | relaxed
# Formation energy from raw total energies   -0.172 eV per atom
# D(E_F)   6.8 states/eV/cell
data_CsGeSb2
_cell_length_a 6.2054
_cell_length_b 15.4274
_cell_length_c 6.9868
_cell_angle_alpha 90.00
_cell_angle_beta 111.17
_cell_angle_gamma 90.00
_symmetry_space_group_name_H-M 'C 1 2/c 1'
_symmetry_Int_Tables_number 15
_symmetry_space_group_name_Hall '-C 2yc'
loop_
_atom_site_label
_atom_site_fract_x
_atom_site_fract_y
_atom_site_fract_z
Cs1 0.0000 0.0957 0.2500
Ge1 0.0000 0.2597 0.7500
Sb1 0.1414 0.3597 0.1283



# Cs2Ge2Sb | Alexandria | PBE-GGA | relaxed
# Formation energy from raw total energies   0.222 eV per atom
# E above lowest polymorph   300 meV/atom
# D(E_F)   9.1 states/eV/cell
data_Cs2Ge2Sb
_cell_length_a 10.9965
_cell_length_b 10.9965
_cell_length_c 3.3703
_cell_angle_alpha 90.00
_cell_angle_beta 90.00
_cell_angle_gamma 90.00
_symmetry_space_group_name_H-M 'P 4/m b m'
_symmetry_Int_Tables_number 127
_symmetry_space_group_name_Hall '-P 4 2ab'
loop_
_atom_site_label
_atom_site_fract_x
_atom_site_fract_y
_atom_site_fract_z
Cs1 0.2166 0.2834 0.0000
Ge1 0.0754 0.5754 0.5000
Sb1 0.0000 0.0000 0.5000



# Cs3Ge2Sb4 | Alexandria | PBE-GGA | relaxed
# Formation energy from raw total energies   -0.204 eV per atom
# D(E_F)   7.0 states/eV/cell
data_Cs3Ge2Sb4
_cell_length_a 19.5525
_cell_length_b 12.3659
_cell_length_c 7.3308
_cell_angle_alpha 90.00
_cell_angle_beta 95.71
_cell_angle_gamma 90.00
_symmetry_space_group_name_H-M 'C 1 2/c 1'
_symmetry_Int_Tables_number 15
_symmetry_space_group_name_Hall '-C 2yc'
loop_
_atom_site_label
_atom_site_fract_x
_atom_site_fract_y
_atom_site_fract_z
Cs1 0.0000 0.1614 0.2500
Cs2 0.1841 0.3720 0.5566
Ge1 0.2105 0.1257 0.9530
Sb1 0.1465 0.0319 0.6324
Sb2 0.1566 0.3143 0.0415



# Cs3Ge2Sb2 | Alexandria | PBE-GGA | relaxed
# Formation energy from raw total energies   -0.164 eV per atom
# D(E_F)   16.3 states/eV/cell
data_Cs3Ge2Sb2
_cell_length_a 7.3215
_cell_length_b 10.0365
_cell_length_c 15.3351
_cell_angle_alpha 90.00
_cell_angle_beta 90.00
_cell_angle_gamma 90.00
_symmetry_space_group_name_H-M 'P b c m'
_symmetry_Int_Tables_number 57
_symmetry_space_group_name_Hall '-P 2c 2b'
loop_
_atom_site_label
_atom_site_fract_x
_atom_site_fract_y
_atom_site_fract_z
Cs1 0.1225 0.1292 0.1104
Cs2 0.2841 0.6991 0.7500
Ge1 0.3679 0.0354 0.5753
Sb1 0.2698 0.0600 0.7500
Sb2 0.4101 0.7500 0.0000



# Cs2Ge4Sb5 | Alexandria | PBE-GGA | relaxed
# Formation energy from raw total energies   -0.017 eV per atom
# D(E_F)   8.5 states/eV/cell
data_Cs2Ge4Sb5
_cell_length_a 14.6273
_cell_length_b 6.8652
_cell_length_c 10.0357
_cell_angle_alpha 90.00
_cell_angle_beta 132.13
_cell_angle_gamma 90.00
_symmetry_space_group_name_H-M 'C 1 2/m 1'
_symmetry_Int_Tables_number 12
_symmetry_space_group_name_Hall '-C 2y'
loop_
_atom_site_label
_atom_site_fract_x
_atom_site_fract_y
_atom_site_fract_z
Cs1 0.2175 0.0000 0.2802
Ge1 0.0887 0.0000 0.5068
Ge2 0.2414 0.0000 0.8675
Sb1 0.0000 0.5000 0.0000
Sb2 0.0557 0.2763 0.7756